Below is a geometry-optimized EuLuTl2 structure, with properties calculated at the PBE-GGA level.

Properties
Its space group is Fm-3m, No. 225. For the energy relative to the elements, the calculation gives -127 kJ/mol of formula units.

Cell lengths 5.4489, 5.4489, 5.4489 Å; angles 60.00, 60.00, 60.00 degrees
Last column: nearest neighbours and their distance in Å.
Element x y z (fractional)
Lu 0.5000 0.5000 0.5000  8 Tl 3.34
Tl 0.2500 0.2500 0.2500  4 Lu 3.34, 4 Eu 3.34
Tl 0.7500 0.7500 0.7500  4 Lu 3.34, 4 Eu 3.34
Eu 0.0000 0.0000 0.0000  8 Tl 3.34